A geometry-optimized Er6Zn5Tc structure, computed with PBE.

The calculation puts the electronic total energy at -48.07 eV/cell. Its formation energy is -3.96 eV/f.u.

The space group is P2/m (No. 10) and the conventional cell measures 4.954, 7.077 and 7.814 Å, with angles of 90.00, 108.36 and 90.00 degrees. The inequivalent atoms are Er at (0.000, 0.239, 0.000), Er at (0.339, 0.244, 0.677), Zn at (0.167, 0.500, 0.333), Zn at (0.169, 0.000, 0.338), Zn at (0.500, 0.500, 0.000) and Tc at (0.500, 0.000, 0.000).